3
Lattice="0.000 2.853 2.853 2.853 0.000 2.853 2.853 2.853 0.000" Properties=species:S:1:pos:R:3 comment="SiRuRh, optimized geometry, DFT GGA-PBEsol" raw_formation_energy_ev_per_atom=0.0153 dos_at_fermi_per_ev_fu=3.57 mass_density_g_cm3=8.3 pbc="T T T"
Si 0.000 0.000 0.000
Ru 1.426 1.426 1.426
Rh 2.853 2.853 2.853


4
Lattice="1.364 0.788 8.147 -1.364 0.788 8.147 0.000 -1.575 8.147" Properties=species:S:1:pos:R:3 comment="SiRuRh2, optimized geometry, DFT GGA-PBEsol" raw_formation_energy_ev_per_atom=-0.2682 dos_at_fermi_per_ev_fu=3.42 mass_density_g_cm3=10.6 pbc="T T T"
Si 0.000 0.000 0.000
Ru 0.000 0.000 6.255
Rh 0.000 0.000 12.259
Rh 0.000 0.000 18.143


4
Lattice="4.364 -1.432 0.000 4.364 1.432 0.000 -1.027 0.000 4.055" Properties=species:S:1:pos:R:3 comment="Si2RuRh, optimized geometry, DFT GGA-PBEsol" raw_formation_energy_ev_per_atom=-0.7444 dos_at_fermi_per_ev_fu=1.30 mass_density_g_cm3=8.5 pbc="T T T"
Si 0.000 0.000 0.000
Si 1.535 0.000 2.533
Ru 3.952 0.000 2.092
Rh 6.349 0.000 0.472


4
Lattice="2.723 0.000 0.000 0.000 3.590 0.000 0.000 0.000 5.364" Properties=species:S:1:pos:R:3 comment="SiRuRh2, optimized geometry, DFT GGA-PBEsol" raw_formation_energy_ev_per_atom=-0.2268 dos_at_fermi_per_ev_fu=3.99 mass_density_g_cm3=10.6 pbc="T T T"
Si 0.000 0.000 0.000
Ru 1.362 1.795 3.947
Rh 0.000 0.000 2.685
Rh 1.362 1.795 1.181